No. 1
Here is an optimized crystal structure of AcNd2Th from Alexandria via LeMat-Bulk. Energies are from PBE.

E_form ... 0.38 eV/f.u.
Excess energy over the best structure of this formula in the dataset ... 50 meV per atom

```
data_AcNd2Th
_space_group_name_H-M_alt 'P 4/m m m'
_space_group_IT_number 123
_space_group_name_Hall '-P 4 2'
_cell_length_a 5.2895
_cell_length_b 5.2895
_cell_length_c 5.2060
_cell_angle_alpha 90.00
_cell_angle_beta 90.00
_cell_angle_gamma 90.00
loop_
_atom_site_label
_atom_site_type_symbol
_atom_site_fract_x
_atom_site_fract_y
_atom_site_fract_z
Ac1 Ac 0.0000 0.0000 0.0000
Nd1 Nd 0.0000 0.5000 0.5000
Th1 Th 0.5000 0.5000 0.0000
```


No. 2
Here is an optimized crystal structure of MgSiTc2 from Alexandria via LeMat-Bulk. Energies are from PBE.

E_form (uncorrected) ... 0.137 eV per atom
Excess energy over the best structure of this formula in the dataset ... 254 meV per atom

```
data_MgSiTc2
_space_group_name_H-M_alt 'I 4/m m m'
_space_group_IT_number 139
_space_group_name_Hall '-I 4 2'
_cell_length_a 3.8775
_cell_length_b 3.8775
_cell_length_c 7.7322
_cell_angle_alpha 90.00
_cell_angle_beta 90.00
_cell_angle_gamma 90.00
loop_
_atom_site_label
_atom_site_type_symbol
_atom_site_fract_x
_atom_site_fract_y
_atom_site_fract_z
Mg1 Mg 0.0000 0.0000 0.0000
Si1 Si 0.0000 0.0000 0.5000
Tc1 Tc 0.0000 0.5000 0.2500
```


No. 3
Here is an optimized crystal structure of HgTe2 from Alexandria via LeMat-Bulk. Energies are from PBE.

E_form (uncorrected) ... 0.054 eV per atom
Excess energy over the best structure of this formula in the dataset ... 31 meV per atom

```
data_HgTe2
_space_group_name_H-M_alt 'P -3 m 1'
_space_group_IT_number 164
_space_group_name_Hall '-P 3 2"'
_cell_length_a 4.3775
_cell_length_b 4.3775
_cell_length_c 5.3741
_cell_angle_alpha 90.00
_cell_angle_beta 90.00
_cell_angle_gamma 120.00
loop_
_atom_site_label
_atom_site_type_symbol
_atom_site_fract_x
_atom_site_fract_y
_atom_site_fract_z
Hg1 Hg 0.0000 0.0000 0.0000
Te1 Te 0.3333 0.6667 0.3083
```


No. 4
Here is an optimized crystal structure of TbPuCdPb from Alexandria via LeMat-Bulk. Energies are from PBE.

E_form ... -0.86 eV/f.u.

```
data_TbPuCdPb
_space_group_name_H-M_alt 'F -4 3 m'
_space_group_IT_number 216
_space_group_name_Hall 'F -4 2 3'
_cell_length_a 7.6302
_cell_length_b 7.6302
_cell_length_c 7.6302
_cell_angle_alpha 90.00
_cell_angle_beta 90.00
_cell_angle_gamma 90.00
loop_
_atom_site_label
_atom_site_type_symbol
_atom_site_fract_x
_atom_site_fract_y
_atom_site_fract_z
Tb1 Tb 0.0000 0.0000 0.0000
Pu1 Pu 0.0000 0.0000 0.5000
Cd1 Cd 0.2500 0.2500 0.7500
Pb1 Pb 0.2500 0.2500 0.2500
```